[1]
Entry from the Alexandria database: Al2CuRuCl after structural relaxation (GGA-PBE).

extended XYZ file:
```
5
Lattice="-4.165 -0.319 2.365 -2.139 -1.397 -3.956 0.970 -4.573 1.091" Properties=species:S:1:pos:R:3 pbc="T T T"
Al -2.083 -0.160 1.183
Al 0.485 -2.287 0.545
Cu -1.070 -0.699 -1.978
Ru 0.000 0.000 0.000
Cl -2.667 -3.145 -0.250
```

## Properties
Its spin magnetization is 0.64 μB/f.u. The value obtained for the volume is 21.71 A^3/atom. Its space group is P4/mmm (123). The uncorrected formation energy comes out at 0.349 eV/atom.

=====

[2]
Entry from the Alexandria database: TcSbIrI2 after structural relaxation (GGA-PBE).

extended XYZ file:
```
5
Lattice="5.284 0.000 0.000 0.000 5.284 0.000 0.000 0.000 5.131" Properties=species:S:1:pos:R:3 pbc="T T T"
Sb 0.000 0.000 2.566
Tc 0.000 0.000 0.000
I 0.000 2.642 0.000
I 2.642 0.000 0.000
Ir 2.642 2.642 2.566
```

## Properties
Its spin magnetization is 0.73 μB/f.u. The value obtained for the volume is 28.66 A^3/atom. The calculation puts the energy above the lowest structure with this stoichiometry at 350 meV per atom. Its space group is P4/mmm (123). The uncorrected formation energy comes out at 1.451 eV/atom.

=====

[3]
Entry from the Alexandria database: BIBr2 after structural relaxation (GGA-PBE).

extended XYZ file:
```
4
Lattice="-10.145 5.382 2.350 -8.772 5.519 5.477 -8.025 7.933 3.175" Properties=species:S:1:pos:R:3 pbc="T T T"
I 0.000 0.000 0.000
Br -23.527 16.447 9.607
Br -3.415 2.388 1.395
B -13.471 9.417 5.501
```

## Properties
Its spin magnetization is 0.00 μB/f.u. The value obtained for the volume is 29.24 A^3/atom. The calculation puts the energy above the lowest structure with this stoichiometry at 936 meV per atom. Its space group is R-3m (166). The uncorrected formation energy comes out at 0.596 eV/atom.

=====

[4]
Entry from the Alexandria database: ErUSn2 after structural relaxation (GGA-PBE).

extended XYZ file:
```
4
Lattice="-1.682 2.591 0.582 0.004 -1.249 5.576 4.827 2.984 0.665" Properties=species:S:1:pos:R:3 pbc="T T T"
Sn 2.414 1.492 0.333
Sn 0.002 -0.625 2.788
Er -0.841 1.296 0.291
U 1.575 2.163 3.412
```

## Properties
Its spin magnetization is 2.87 μB/f.u. The value obtained for the energy relative to the elements is -258 meV per atom. The value obtained for the volume is 25.66 A^3/atom. The calculation puts the energy above the lowest structure with this stoichiometry at 4 meV per atom. Its space group is P4/mmm (123).

=====

[5]
Entry from the Alexandria database: BaSiIr after structural relaxation (GGA-PBE).

extended XYZ file:
```
3
Lattice="-5.050 -0.819 0.802 -0.586 -0.364 -4.060 0.898 -3.325 2.257" Properties=species:S:1:pos:R:3 pbc="T T T"
Ba -3.457 -1.897 -1.420
Si -0.841 -0.136 0.134
Ir -0.439 -2.475 0.285
```

## Properties
Its spin magnetization is 0.00 μB/f.u. The value obtained for the volume is 25.35 A^3/atom. Its space group is P-6m2 (187). The uncorrected formation energy comes out at -0.551 eV/atom.

=====

[6]
Entry from the Alexandria database: Ce3CBr after structural relaxation (GGA-PBE).

extended XYZ file:
```
10
Lattice="0.122 -2.795 -4.114 4.640 -3.826 2.739 -5.064 -4.205 2.706" Properties=species:S:1:pos:R:3 pbc="T T T"
Br 1.114 -4.361 -0.012
Br -1.415 -6.465 1.343
C -3.797 -3.154 2.030
C 3.496 -7.672 -0.699
Ce -1.337 -3.088 2.056
Ce -3.737 -4.551 -0.028
Ce 1.036 -7.738 -0.725
Ce -1.495 -9.840 0.627
Ce 1.194 -0.986 0.703
Ce 3.436 -6.275 1.358
```

## Properties
Its spin magnetization is 2.55 μB/f.u. The value obtained for the volume is 23.40 A^3/atom. Its space group is Pmmm (47). The uncorrected formation energy comes out at -0.383 eV/atom.

=====

[7]
Entry from the Alexandria database: Mn5Pt4Au after structural relaxation (GGA-PBE).

extended XYZ file:
```
10
Lattice="-0.146 0.949 2.753 -2.131 -1.912 0.546 12.278 -12.290 4.887" Properties=species:S:1:pos:R:3 pbc="T T T"
Mn 2.580 -4.204 3.129
Mn 7.421 -9.050 5.056
Mn 0.167 -1.789 2.169
Mn 5.000 -6.627 4.093
Mn 9.834 -11.465 6.017
Pt 9.782 -9.792 3.894
Pt 4.925 -4.930 1.960
Pt 7.353 -7.360 2.927
Pt 2.496 -2.498 0.993
Au 0.000 0.000 0.000
```

## Properties
Its spin magnetization is 3.98 μB/f.u. The value obtained for the energy relative to the elements is -292 meV per atom. The value obtained for the volume is 15.34 A^3/atom. Its space group is P4/mmm (123).

=====

[8]
Entry from the Alexandria database: NdPuRh after structural relaxation (GGA-PBE).

extended XYZ file:
```
3
Lattice="-1.846 1.722 2.579 -3.098 -1.142 -1.455 2.662 -4.894 2.649" Properties=species:S:1:pos:R:3 pbc="T T T"
Nd 0.121 -2.930 2.044
Rh -2.415 -1.094 1.527
Pu 0.012 -0.290 0.202
```

## Properties
Its spin magnetization is 5.62 μB/f.u. The value obtained for the energy relative to the elements is -284 meV per atom. The value obtained for the volume is 24.38 A^3/atom. The calculation puts the energy above the lowest structure with this stoichiometry at 140 meV per atom. Its space group is I4mm (107).

=====

[9]
Entry from the Alexandria database: Pr5Nd4Tm2 after structural relaxation (GGA-PBE).

extended XYZ file:
```
11
Lattice="3.549 0.000 0.000 0.000 9.572 0.000 -1.774 -4.786 11.691" Properties=species:S:1:pos:R:3 pbc="T T T"
Pr 0.000 7.580 3.569
Pr 1.774 -2.794 8.122
Pr 1.774 0.000 0.000
Pr 0.000 1.992 3.569
Pr 1.774 2.794 8.122
Nd 1.774 4.786 2.233
Nd 0.000 2.849 0.000
Nd 0.000 0.000 9.459
Nd 0.000 6.723 0.000
Tm 0.000 0.000 6.316
Tm 1.774 4.786 5.376
```

## Properties
Its spin magnetization is 0.00 μB/f.u. The value obtained for the energy relative to the elements is 227 meV per atom. The value obtained for the volume is 36.10 A^3/atom. The calculation puts the energy above the lowest structure with this stoichiometry at 69 meV per atom. Its space group is Immm (71).

=====

[10]
Entry from the Alexandria database: PmNd2SnO after structural relaxation (GGA-PBE).

extended XYZ file:
```
5
Lattice="4.908 0.000 0.000 0.000 4.983 0.000 0.000 0.000 4.983" Properties=species:S:1:pos:R:3 pbc="T T T"
Pm 2.454 0.000 0.000
Sn 2.454 2.492 2.492
Nd 0.000 2.492 0.000
Nd 0.000 0.000 2.492
O 0.000 0.000 0.000
```

## Properties
Its spin magnetization is 0.00 μB/f.u. The value obtained for the volume is 24.38 A^3/atom. Its space group is P4/mmm (123). The uncorrected formation energy comes out at -1.464 eV/atom.

=====

[11]
Entry from the Alexandria database: Pr4Ru2O after structural relaxation (GGA-PBE).

extended XYZ file:
```
7
Lattice="-1.397 0.077 -4.608 -2.302 -4.183 0.628 -4.223 5.681 3.892" Properties=species:S:1:pos:R:3 pbc="T T T"
O 0.000 0.000 0.000
Pr -0.699 0.039 -2.304
Pr -1.151 -2.092 0.314
Pr -5.617 0.197 -0.810
Pr -2.306 1.378 0.722
Ru -4.533 2.708 1.420
Ru -3.390 -1.133 -1.508
```

## Properties
Its spin magnetization is 0.00 μB/f.u. The value obtained for the volume is 24.27 A^3/atom. Its space group is I4/mmm (139). The uncorrected formation energy comes out at -0.746 eV/atom.

=====

[12]
Entry from the Alexandria database: SrBe2Co after structural relaxation (GGA-PBE).

extended XYZ file:
```
4
Lattice="-1.359 1.847 -3.028 -3.359 -0.986 -1.475 -4.038 3.804 1.739" Properties=species:S:1:pos:R:3 pbc="T T T"
Co -4.856 3.012 -0.760
Sr -2.193 1.180 -0.672
Be -6.586 3.523 -2.053
Be -3.537 3.088 1.077
```

## Properties
Its spin magnetization is 0.00 μB/f.u. The value obtained for the energy relative to the elements is 52 meV per atom. The value obtained for the volume is 16.81 A^3/atom. The calculation puts the energy above the lowest structure with this stoichiometry at 0 meV per atom. Its space group is Cm (8).

=====

[13]
Entry from the Alexandria database: CrIn after structural relaxation (GGA-PBE).

extended XYZ file:
```
8
Lattice="-3.252 1.468 -4.339 -0.128 -5.348 -1.714 -4.578 -0.893 3.129" Properties=species:S:1:pos:R:3 pbc="T T T"
Cr -3.915 0.287 -0.605
Cr -1.690 -1.940 -3.026
Cr 0.000 0.000 0.000
Cr -2.353 -3.121 0.708
In -1.626 0.734 -2.169
In -0.064 -2.674 -0.857
In -3.979 -2.387 -1.461
In -2.289 -0.447 1.565
```

## Properties
Its spin magnetization is 3.86 μB/f.u. The value obtained for the energy relative to the elements is 814 meV per atom. The value obtained for the volume is 22.15 A^3/atom. Its space group is Fm-3m (225).

=====

[14]
Entry from the Alexandria database: RbPaRhO6 after structural relaxation (GGA-PBE).

extended XYZ file:
```
9
Lattice="-3.624 2.562 -3.355 -5.449 -0.216 1.106 0.497 5.247 3.469" Properties=species:S:1:pos:R:3 pbc="T T T"
O -2.173 3.272 -0.889
O -1.920 1.693 1.462
O -4.493 2.522 0.576
O -1.120 4.469 1.130
O -3.877 5.017 0.695
O -3.073 3.460 2.935
Pa -5.800 4.188 0.235
Rb -8.576 7.593 1.220
Rh -2.776 3.406 0.985
```

## Properties
Its spin magnetization is 1.13 μB/f.u. The value obtained for the volume is 18.80 A^3/atom. Its space group is P312 (149). The uncorrected formation energy comes out at -1.833 eV/atom.

=====

[15]
Entry from the Alexandria database: RbAg5O4 after structural relaxation (GGA-PBE).

extended XYZ file:
```
20
Lattice="-5.851 -1.291 -0.189 0.671 -3.875 5.709 -1.736 7.133 5.046" Properties=species:S:1:pos:R:3 pbc="T T T"
O -0.565 2.125 1.509
O -5.818 -1.787 3.680
O -3.653 -0.200 6.890
O -2.060 -3.336 4.008
O -2.350 -1.660 1.537
O -1.262 4.988 3.534
O -6.858 2.484 6.700
O -4.033 1.998 3.651
Ag -2.540 4.889 5.294
Ag -4.995 0.181 3.242
Ag -5.312 1.039 7.215
Ag -2.595 3.186 2.467
Ag -5.579 2.583 4.941
Ag -3.789 -2.847 2.722
Ag -0.985 -2.174 5.382
Ag -4.728 -1.363 5.516
Ag -1.389 0.158 1.947
Ag -2.137 2.557 8.728
Rb -2.087 1.286 5.327
Rb -4.297 -0.948 -0.139
```

## Properties
Its spin magnetization is 0.74 μB/f.u. The value obtained for the volume is 18.51 A^3/atom. Its space group is Pmmn (59). The uncorrected formation energy comes out at -0.095 eV/atom.

=====

[16]
Entry from the Alexandria database: Y2USi3Pt4 after structural relaxation (GGA-PBE).

extended XYZ file:
```
10
Lattice="4.194 0.000 0.000 0.000 4.194 0.000 0.000 0.000 10.975" Properties=species:S:1:pos:R:3 pbc="T T T"
Pt 2.097 0.000 7.281
Pt 0.000 2.097 3.694
Pt 2.097 2.097 0.000
Pt 0.000 0.000 0.000
Si 0.000 2.097 1.329
Si 0.000 0.000 5.487
Si 2.097 0.000 9.646
Y 0.000 2.097 8.515
Y 2.097 0.000 2.460
U 2.097 2.097 5.487
```

## Properties
Its spin magnetization is 2.43 μB/f.u. The value obtained for the volume is 19.31 A^3/atom. Its space group is P-4m2 (115). The uncorrected formation energy comes out at -0.908 eV/atom.

=====

[17]
Entry from the Alexandria database: CaHo2Cd6 after structural relaxation (GGA-PBE).

extended XYZ file:
```
9
Lattice="3.458 0.000 0.000 0.000 7.477 -4.317 0.000 0.000 8.633" Properties=species:S:1:pos:R:3 pbc="T T T"
Cd 1.729 0.000 5.744
Cd 1.729 2.503 -1.445
Cd 1.729 0.000 2.890
Cd 1.729 4.974 2.872
Cd 1.729 2.503 1.445
Cd 1.729 4.974 5.762
Ca 0.000 0.000 8.633
Ho 3.458 4.985 0.000
Ho 0.000 2.492 4.317
```

## Properties
Its spin magnetization is 0.00 μB/f.u. The value obtained for the energy relative to the elements is -312 meV per atom. The value obtained for the volume is 24.80 A^3/atom. Its space group is P6/mmm (191).

=====

[18]
Entry from the Alexandria database: SnBiSe2Br after structural relaxation (GGA-PBE).

extended XYZ file:
```
5
Lattice="-2.563 2.713 4.186 3.609 -2.241 3.661 3.375 4.280 -0.707" Properties=species:S:1:pos:R:3 pbc="T T T"
Sn 2.211 2.376 3.570
Br 1.687 2.140 -0.354
Se 1.805 -1.120 1.831
Se -1.281 1.356 2.093
Bi 0.000 0.000 0.000
```

## Properties
Its spin magnetization is 0.00 μB/f.u. The value obtained for the volume is 34.57 A^3/atom. The calculation puts the energy above the lowest structure with this stoichiometry at 558 meV per atom. Its space group is P4/mmm (123). The uncorrected formation energy comes out at 0.076 eV/atom.

=====

[19]
Entry from the Alexandria database: Co2ReSe2 after structural relaxation (GGA-PBE).

extended XYZ file:
```
10
Lattice="-2.687 -2.097 5.801 5.364 -3.919 1.068 1.379 2.287 1.465" Properties=species:S:1:pos:R:3 pbc="T T T"
Co 0.300 -2.050 6.082
Co 3.555 -3.563 5.380
Co 0.501 -0.166 2.954
Co 3.755 -1.679 2.252
Se 3.593 -4.008 2.873
Se 1.398 -1.669 1.289
Se 1.278 -4.347 5.580
Se -0.917 -2.008 3.996
Re 1.338 -3.008 3.435
Re 0.000 0.000 0.000
```

## Properties
Its spin magnetization is 0.00 μB/f.u. The value obtained for the volume is 13.79 A^3/atom. The calculation puts the energy above the lowest structure with this stoichiometry at 0 meV per atom. Its space group is P4/mbm (127). The uncorrected formation energy comes out at 0.421 eV/atom.

=====

[20]
Entry from the Alexandria database: AlHgW2 after structural relaxation (GGA-PBE).

extended XYZ file:
```
4
Lattice="-4.186 0.798 2.372 1.000 -0.644 4.730 2.274 2.771 -3.307" Properties=species:S:1:pos:R:3 pbc="T T T"
Al -1.593 0.077 3.551
W 0.000 0.000 0.000
W 0.841 1.102 2.487
Hg -1.752 1.823 1.308
```

## Properties
Its spin magnetization is 0.00 μB/f.u. The value obtained for the energy relative to the elements is 524 meV per atom. The value obtained for the volume is 16.80 A^3/atom. The calculation puts the energy above the lowest structure with this stoichiometry at 186 meV per atom. Its space group is I-4m2 (119).